1.
Density functional theory data (PBE) for a relaxed CsTeSe2Br crystal.

Summary:
- ΔE to the lowest computed polymorph (meV/atom) = 0.0
- total magnetization (μB/cell) = 0.0
- calculated total energy (eV per atom) = -3.020
- uncorrected formation energy (eV per formula unit) = -2.46

Lattice parameters (Å, degrees): 5.478 5.478 5.906 90.00 90.00 90.00
Space group P4/mmm (No. 123)
Symmetry-distinct sites (fractional):
Cs1 0.000 0.000 0.000 x1
Te1 0.500 0.500 0.500 x1
Se1 0.000 0.500 0.500 x2
Br1 0.500 0.500 0.000 x1



2.
Density functional theory data (PBE) for a relaxed GaCuAu2 crystal.

Summary:
- total magnetization (μB/cell) = 0.0
- calculated total energy (eV per atom) = -3.510
- energy of formation (meV/atom) = -90

Lattice parameters (Å, degrees): 6.440 7.105 6.079 90.00 105.75 90.00
Space group P2_1/c (No. 14)
Symmetry-distinct sites (fractional):
Ga1 0.202 0.136 0.037 x4
Cu1 0.291 0.010 0.451 x4
Au1 0.103 0.661 0.249 x4
Au2 0.475 0.679 0.652 x4



3.
Density functional theory data (PBE) for a relaxed LiAlZn14 crystal.

Summary:
- total magnetization (μB/cell) = 0.0
- calculated total energy (eV per atom) = -1.489
- energy of formation (meV/atom) = -21

Lattice parameters (Å, degrees): 5.624 5.624 7.653 90.00 90.00 90.00
Space group P4/mmm (No. 123)
Symmetry-distinct sites (fractional):
Li1 0.000 0.000 0.000 x1
Al1 0.500 0.500 0.000 x1
Zn1 0.000 0.000 0.500 x1
Zn2 0.000 0.500 0.000 x2
Zn3 0.000 0.500 0.500 x2
Zn4 0.247 0.247 0.252 x8
Zn5 0.500 0.500 0.500 x1



4.
Density functional theory data (PBE) for a relaxed MgCr2Ag crystal.

Summary:
- total magnetization (μB/cell) = 0.5
- calculated total energy (eV per atom) = -5.194
- energy of formation (meV/atom) = 729

Lattice parameters (Å, degrees): 3.516 3.516 5.207 90.00 90.00 90.00
Space group P4/mmm (No. 123)
Symmetry-distinct sites (fractional):
Mg1 0.000 0.000 0.000 x1
Cr1 0.500 0.500 0.184 x2
Ag1 0.000 0.000 0.500 x1



5.
Density functional theory data (PBE) for a relaxed AcBi2Pd crystal.

Summary:
- ΔE to the lowest computed polymorph (meV/atom) = 64.2
- total magnetization (μB/cell) = 0.0
- calculated total energy (eV per atom) = -4.890
- energy of formation (meV/atom) = -625

Lattice parameters (Å, degrees): 4.744 19.035 10.548 90.00 90.00 90.00
Space group Cmcm (No. 63)
Symmetry-distinct sites (fractional):
Ac1 0.000 0.000 0.000 x4
Ac2 0.000 0.204 0.250 x4
Bi1 0.000 0.200 0.579 x8
Bi2 0.000 0.411 0.250 x4
Bi3 0.000 0.428 0.750 x4
Pd1 0.000 0.362 0.512 x8



6.
Density functional theory data (PBE) for a relaxed Ca2Sb2Pd crystal.

Summary:
- ΔE to the lowest computed polymorph (meV/atom) = 0.0
- total magnetization (μB/cell) = 0.0
- calculated total energy (eV per atom) = -4.366
- uncorrected formation energy (eV per formula unit) = -4.39

Lattice parameters (Å, degrees): 11.267 4.617 11.375 90.00 117.86 90.00
Space group C2/m (No. 12)
Symmetry-distinct sites (fractional):
Ca1 0.007 0.000 0.337 x4
Ca2 0.177 0.000 0.114 x4
Sb1 0.031 0.500 0.873 x4
Sb2 0.153 0.500 0.565 x4
Pd1 0.213 0.500 0.347 x4



What did the second record say?
Density functional theory data (PBE) for a relaxed GaCuAu2 crystal.

Summary:
- total magnetization (μB/cell) = 0.0
- calculated total energy (eV per atom) = -3.510
- energy of formation (meV/atom) = -90

Lattice parameters (Å, degrees): 6.440 7.105 6.079 90.00 105.75 90.00
Space group P2_1/c (No. 14)
Symmetry-distinct sites (fractional):
Ga1 0.202 0.136 0.037 x4
Cu1 0.291 0.010 0.451 x4
Au1 0.103 0.661 0.249 x4
Au2 0.475 0.679 0.652 x4



Question: Look up the calculated total energy of the third one.
Answer: -1.489 eV per atom



Question: The highest total magnetization belongs to which entry?
Answer: MgCr2Ag